Compound: Sc4AlPd2
Source: Alexandria
Functional: PBE-GGA
Structure: relaxed

Results
ρ = 4.5 Mg/m³
space group = R-3m (166)
energy = -42.6 eV per formula unit
crystal system = trigonal

Unit cell a=8.947 b=8.947 c=8.947 alpha=29.54 beta=29.54 gamma=29.54
Positions (direct):
1 Sc 0.119 0.119 0.119
2 Sc 0.295 0.295 0.295
3 Sc 0.705 0.705 0.705
4 Sc 0.881 0.881 0.881
5 Al 0.500 0.500 0.500
6 Pd 0.403 0.403 0.403
7 Pd 0.597 0.597 0.597

=====

Compound: ScAlPd6
Source: Alexandria
Functional: PBE-GGA
Structure: relaxed

Results
ρ = 9.5 Mg/m³
space group = P4/mmm (123)
energy = -47.1 eV per formula unit
crystal system = tetragonal

Unit cell a=3.970 b=3.970 c=7.874 alpha=90.00 beta=90.00 gamma=90.00
Positions (direct):
1 Sc 0.000 0.000 0.000
2 Al 0.000 0.000 0.500
3 Pd 0.000 0.500 0.259
4 Pd 0.000 0.500 0.741
5 Pd 0.500 0.000 0.259
6 Pd 0.500 0.000 0.741
7 Pd 0.500 0.500 0.000
8 Pd 0.500 0.500 0.500

=====

Compound: Sc2Al3Pd
Source: Alexandria
Functional: PBE-GGA
Structure: relaxed

Results
ρ = 4.3 Mg/m³
space group = R-3m (166)
energy = -33.3 eV per formula unit
crystal system = trigonal

Unit cell a=5.251 b=5.251 c=5.251 alpha=61.57 beta=61.57 gamma=61.57
Positions (direct):
1 Sc 0.125 0.125 0.125
2 Sc 0.875 0.875 0.875
3 Al 0.000 0.500 0.500
4 Al 0.500 0.000 0.500
5 Al 0.500 0.500 0.000
6 Pd 0.500 0.500 0.500

=====

Compound: Sc4Al12Pd
Source: Alexandria
Functional: PBE-GGA
Structure: relaxed

Results
ρ = 3.4 Mg/m³
space group = Im-3m (229)
energy = -83.9 eV per formula unit
crystal system = cubic

Unit cell a=7.291 b=7.291 c=7.291 alpha=109.47 beta=109.47 gamma=109.47
Positions (direct):
1 Sc 0.000 0.000 0.500
2 Sc 0.000 0.500 0.000
3 Sc 0.500 0.000 0.000
4 Sc 0.500 0.500 0.500
5 Al 0.000 0.292 0.292
6 Al 0.000 0.708 0.708
7 Al 0.250 0.500 0.750
8 Al 0.250 0.750 0.500
9 Al 0.292 0.000 0.292
10 Al 0.292 0.292 0.000
11 Al 0.500 0.250 0.750
12 Al 0.500 0.750 0.250
13 Al 0.708 0.000 0.708
14 Al 0.708 0.708 0.000
15 Al 0.750 0.250 0.500
16 Al 0.750 0.500 0.250
17 Pd 0.000 0.000 0.000

=====

Compound: ScAl3Pd
Source: Alexandria
Functional: PBE-GGA
Structure: relaxed

Results
ρ = 4.4 Mg/m³
space group = P2_1/m (11)
energy = -25.7 eV per formula unit
crystal system = monoclinic

Unit cell a=6.650 b=4.079 c=6.722 alpha=90.00 beta=104.35 gamma=90.00
Positions (direct):
1 Sc 0.193 0.250 0.173
2 Sc 0.807 0.750 0.827
3 Al 0.069 0.250 0.654
4 Al 0.295 0.750 0.901
5 Al 0.341 0.750 0.514
6 Al 0.659 0.250 0.486
7 Al 0.705 0.250 0.099
8 Al 0.931 0.750 0.346
9 Pd 0.456 0.250 0.750
10 Pd 0.544 0.750 0.250

=====

Compound: Sc2Al4Pd
Source: Alexandria
Functional: PBE-GGA
Structure: relaxed

Results
ρ = 3.3 Mg/m³
space group = I4/mmm (139)
energy = -33.1 eV per formula unit
crystal system = tetragonal

Unit cell a=7.950 b=7.950 c=7.950 alpha=146.44 beta=146.44 gamma=48.19
Positions (direct):
1 Sc 0.138 0.138 0.000
2 Sc 0.862 0.862 0.000
3 Al 0.000 0.500 0.500
4 Al 0.329 0.329 0.000
5 Al 0.500 0.000 0.500
6 Al 0.671 0.671 0.000
7 Pd 0.500 0.500 0.000